Below is a geometry-optimized MnCo2ReO structure, with properties calculated at the PBE with a Hubbard U level.

extended XYZ file:
```
5
Lattice="4.462 0.000 0.000 0.000 5.273 0.000 0.000 0.000 4.462" Properties=species:S:1:pos:R:3 pbc="T T T"
Re 0.000 0.000 0.000
Mn 0.000 2.637 0.000
Co 0.000 0.000 2.231
Co 2.231 0.000 0.000
O 2.231 2.637 2.231
```

The total energy is -5.104 eV/atom.